Entry 1:
Compound: TaTeSe
Source: Alexandria
Functional: PBE
Structure: optimized geometry

Structure (POSCAR):
```
TaTeSe
1.0
-2.8441 -0.5207 -3.7036
-0.5505 -4.2334 -1.9626
-4.0726 -2.2956 0.4697
Se Te Ta
1 1 1
direct
0.5000 0.5000 0.5000
0.0000 0.0000 0.0000
0.7500 0.7500 0.7500
```

Calculated values
For the energy above the most stable polymorph in this dataset, the calculation gives 0.552 eV/atom. As for the space group: No. 216. For the final energy, the calculation gives -6.163 eV per atom. The spin magnetization is 1.33 Bohr magnetons per cell. The formation energy without anion corrections is 0.00 eV per atom.

***

Entry 2:
Compound: Ce2NdBe
Source: Alexandria
Functional: PBE
Structure: optimized geometry

Structure (POSCAR):
```
Ce2NdBe
1.0
-0.6893 -1.0077 -2.9163
0.1252 -3.0856 -0.6771
-11.7150 -2.5175 1.9252
Ce Be Nd
2 1 1
direct
0.9195 0.9195 0.2414
0.0805 0.0805 0.7586
0.0000 0.0000 0.0000
0.5000 0.5000 0.5000
```

Calculated values
For the energy relative to the elements, the calculation gives 0.756 eV per atom. As for the space group: No. 166. For the final energy, the calculation gives -4.335 eV per atom. The spin magnetization is 0.03 Bohr magnetons per cell.

***

Number 1: density 8.77 g cm⁻³. Number 2: density 6.93 g cm⁻³.